Entry 1:
## LaCoSi (PBEsol)

Data for a relaxed structure of LaCoSi.

Cell: 4.6113 4.6113 4.6113 Å, 60.00 60.00 60.00°
With the nearest neighbours (Å) after each atom.
Atoms (fractional coordinates):
La: 0.2500 0.2500 0.2500  4 Co 2.82, 4 Si 2.82
Si: 0.0000 0.0000 0.0000  4 La 2.82
Co: 0.5000 0.5000 0.5000  4 La 2.82

Properties
calculated volume	23.1	A^3/atom
calculated density	5.41	Mg/m³
magnetization	0.2997	μB/atom
E_form (uncorrected)	773	meV/atom
energy	-16.5	eV/cell

=====

Entry 2:
## CrTc2Ir (PBEsol)

Data for a relaxed structure of CrTc2Ir.

Cell: 2.6805 2.6805 8.8004 Å, 81.24 81.24 60.00°
With the nearest neighbours (Å) after each atom.
Atoms (fractional coordinates):
Tc: 0.7510 0.7510 0.7471  9 Tc 2.64-2.68, 3 Cr 2.66
Tc: 0.0020 0.0020 0.9940  9 Tc 2.64-2.68, 3 Ir 2.79
Cr: 0.5009 0.5009 0.4972  3 Ir 2.56, 3 Tc 2.66, 6 Cr 2.68
Ir: 0.2461 0.2461 0.2617  3 Cr 2.56, 6 Ir 2.68, 3 Tc 2.79

Properties
calculated volume	13.5	A^3/atom
calculated density	13.56	Mg/m³
ΔE to the lowest computed polymorph	0.062	eV/atom
magnetization	0.0001	μB/atom
energy of formation from the pure elements	0.044	eV per atom
energy	-42.4	eV/cell

=====

Entry 3:
## CrFeCoTe2 (PBEsol)

Data for a relaxed structure of CrFeCoTe2.

Cell: 4.3041 4.8885 4.8885 Å, 90.00 90.00 90.00°
With the nearest neighbours (Å) after each atom.
Atoms (fractional coordinates):
Fe: 0.5000 0.5000 0.5000  8 Te 3.26, 4 Cr 3.46
Te: 0.0000 0.0000 0.5000  2 Co 2.44
Te: 0.0000 0.5000 0.0000  2 Co 2.44
Cr: 0.5000 0.0000 0.0000  2 Co 2.15
Co: 0.0000 0.0000 0.0000  2 Cr 2.15

Properties
calculated volume	20.6	A^3/atom
calculated density	6.81	Mg/m³
magnetization	1.3224	μB/atom
E_form (uncorrected)	1023	meV/atom
energy	-28.9	eV/cell

=====

Entry 4:
## Ca2RuO4 (PBEsol)

Data for a relaxed structure of Ca2RuO4.

Cell: 5.2366 5.2333 6.7505 Å, 90.00 112.82 90.00°
With the nearest neighbours (Å) after each atom.
Atoms (fractional coordinates):
O: 0.3343 0.5000 0.6686  1 Ru 2.06, 1 Ca 2.25
O: 0.8343 0.0000 0.6686  1 Ru 2.06, 1 Ca 2.25
O: 0.6657 0.5000 0.3314  1 Ru 2.06, 1 Ca 2.25
O: 0.3154 0.1844 0.0000  2 Ru 1.91
O: 0.1846 0.6844 0.0000  2 Ru 1.91
O: 0.6846 0.8156 0.0000  2 Ru 1.91
O: 0.8154 0.3156 0.0000  2 Ru 1.91
O: 0.1657 0.0000 0.3314  1 Ru 2.06, 1 Ca 2.25
Ca: 0.1536 0.5000 0.3071  3 O 2.25-2.35
Ca: 0.6536 0.0000 0.3071  3 O 2.25-2.35
Ca: 0.3464 0.0000 0.6929  3 O 2.25-2.35
Ca: 0.8464 0.5000 0.6929  3 O 2.25-2.35
Ru: 0.5000 0.5000 0.0000  6 O 1.91-2.06
Ru: 0.0000 0.0000 0.0000  6 O 1.91-2.06

Properties
calculated volume	12.2	A^3/atom
calculated density	4.78	Mg/m³
ΔE to the lowest computed polymorph	0.006	eV/atom
magnetization	0.1604	μB/atom
E_form (uncorrected)	-2176	meV/atom
energy	-101.3	eV/cell

=====

Entry 5:
## TaCoSi2 (PBEsol)

Data for a relaxed structure of TaCoSi2.

Cell: 2.7205 4.7439 4.9539 Å, 118.61 105.94 90.00°
With the nearest neighbours (Å) after each atom.
Atoms (fractional coordinates):
Co: 0.0000 0.5000 0.0000  4 Si 2.28
Ta: 0.5000 0.0000 0.0000  8 Si 2.67-2.99, 2 Ta 2.72, 4 Co 2.73
Si: 0.2788 0.2788 0.5575  2 Co 2.28
Si: 0.7212 0.7212 0.4425  2 Co 2.28

Properties
calculated volume	13.3	A^3/atom
calculated density	9.22	Mg/m³
magnetization	0.0001	μB/atom
E_form (uncorrected)	-275	meV/atom
energy	-32.9	eV/cell

=====

Entry 6:
## TlCu2HSe2O10 (PBEsol)

Data for a relaxed structure of TlCu2HSe2O10.

Cell: 5.3339 5.3339 8.5577 Å, 96.67 106.83 110.44°
With the nearest neighbours (Å) after each atom.
Atoms (fractional coordinates):
Cu: 0.0000 0.0000 0.5000  4 O 1.86-1.88
Cu: 0.5000 0.5000 0.5000  4 O 1.86-1.88
O: 0.0575 0.1973 0.7134  1 Se 1.71, 1 Cu 1.88
O: 0.9425 0.8027 0.2866  1 Se 1.71, 1 Cu 1.88
O: 0.3927 0.1518 0.5445  1 H 1.23
O: 0.4838 0.3441 0.2866  1 Se 1.71, 1 Cu 1.88
O: 0.9832 0.6594 0.6426  1 Se 1.65
O: 0.5162 0.6559 0.7134  1 Se 1.71, 1 Cu 1.88
O: 0.7003 0.3384 0.0387  1 Se 1.63
O: 0.6073 0.8482 0.4555  1 H 1.23
O: 0.2997 0.6616 0.9613  1 Se 1.63
O: 0.0168 0.3406 0.3574  1 Se 1.65
Se: 0.2095 0.5493 0.7589  4 O 1.63-1.71
Se: 0.7905 0.4507 0.2411  4 O 1.63-1.71
H: 0.5000 0.0000 0.5000  2 O 1.23
Tl: 0.0000 0.0000 0.0000  6 O 2.83-2.85

Properties
calculated volume	13.2	A^3/atom
calculated density	5.10	Mg/m³
magnetization	0.0000	μB/atom
energy	-84.1	eV/cell

=====

Entry 7:
## TaTcAg2 (PBEsol)

Data for a relaxed structure of TaTcAg2.

Cell: 3.6971 3.7942 5.2206 Å, 111.33 110.73 90.00°
With the nearest neighbours (Å) after each atom.
Atoms (fractional coordinates):
Ta: 0.5000 0.0000 0.0000  4 Tc 2.65, 8 Ag 2.91-2.94
Ag: 0.2501 0.2501 0.5003  4 Ag 2.65, 4 Tc 2.91-2.94, 4 Ta 2.91-2.94
Ag: 0.7499 0.7499 0.4997  4 Ag 2.65, 4 Tc 2.91-2.94, 4 Ta 2.91-2.94
Tc: 0.0000 0.5000 0.0000  4 Ta 2.65, 8 Ag 2.91-2.94

Properties
calculated volume	15.8	A^3/atom
calculated density	13.02	Mg/m³
ΔE to the lowest computed polymorph	0.000	eV/atom
magnetization	0.0000	μB/atom
energy of formation from the pure elements	0.239	eV per atom
energy	-29.5	eV/cell

=====

Entry 8:
## BeCu2 (PBEsol)

Data for a relaxed structure of BeCu2.

Cell: 2.4664 3.7241 3.7241 Å, 90.00 90.00 90.00°
With the nearest neighbours (Å) after each atom.
Atoms (fractional coordinates):
Cu: 0.5000 0.5000 0.0000  4 Be 2.23, 2 Cu 2.47
Cu: 0.5000 0.0000 0.5000  4 Be 2.23, 2 Cu 2.47
Be: 0.0000 0.0000 0.0000  8 Cu 2.23, 2 Be 2.47

Properties
calculated volume	11.4	A^3/atom
calculated density	6.61	Mg/m³
magnetization	0.0000	μB/atom
energy of formation from the pure elements	0.209	eV per atom
energy	-12.0	eV/cell

=====

Entry 9:
## FeTc (PBEsol)

Data for a relaxed structure of FeTc.

Cell: 2.5896 2.5896 3.5527 Å, 90.00 90.00 90.00°
With the nearest neighbours (Å) after each atom.
Atoms (fractional coordinates):
Fe: 0.0000 0.0000 0.0000  8 Tc 2.55, 4 Fe 2.59
Tc: 0.5000 0.5000 0.5000  8 Fe 2.55, 4 Tc 2.59

Properties
calculated volume	11.9	A^3/atom
calculated density	10.72	Mg/m³
magnetization	0.0012	μB/atom
energy of formation from the pure elements	0.057	eV per atom
energy	-20.1	eV/cell

=====

Entry 10:
## Sr3LaMn4O12 (PBEsol)

Data for a relaxed structure of Sr3LaMn4O12.

Cell: 6.5937 6.5937 6.5937 Å, 109.47 109.47 109.47°
With the nearest neighbours (Å) after each atom.
Atoms (fractional coordinates):
O: 0.7537 0.2463 0.0000  2 Mn 1.90
O: 0.2463 0.7537 0.0000  2 Mn 1.90
O: 0.7537 0.7537 0.5074  2 Mn 1.90
O: 0.0000 0.7537 0.2463  2 Mn 1.90
O: 0.7537 0.5074 0.7537  2 Mn 1.90
O: 0.2463 0.2463 0.4926  2 Mn 1.90
O: 0.2463 0.4926 0.2463  2 Mn 1.90
O: 0.2463 0.0000 0.7537  2 Mn 1.90
O: 0.7537 0.0000 0.2463  2 Mn 1.90
O: 0.4926 0.2463 0.2463  2 Mn 1.90
O: 0.0000 0.2463 0.7537  2 Mn 1.90
O: 0.5074 0.7537 0.7537  2 Mn 1.90
Mn: 0.5000 0.0000 0.0000  6 O 1.90
Mn: 0.0000 0.5000 0.0000  6 O 1.90
Mn: 0.5000 0.5000 0.5000  6 O 1.90
Mn: 0.0000 0.0000 0.5000  6 O 1.90
Sr: 0.5000 0.5000 0.0000  12 O 2.69-2.73
Sr: 0.0000 0.5000 0.5000  12 O 2.69-2.73
Sr: 0.5000 0.0000 0.5000  12 O 2.69-2.73
La: 0.0000 0.0000 0.0000  12 O 2.65

Properties
calculated volume	11.0	A^3/atom
calculated density	6.12	Mg/m³
magnetization	0.6508	μB/atom
E_form (uncorrected)	-2408	meV/atom
energy	-161.1	eV/cell

=====

Entry 11:
## Na2Nb3O6 (PBEsol)

Data for a relaxed structure of Na2Nb3O6.

Cell: 5.1257 5.1257 23.3650 Å, 90.00 90.00 120.00°
With the nearest neighbours (Å) after each atom.
Atoms (fractional coordinates):
O: 0.6619 0.9986 0.4286  3 Nb 2.11-2.13
O: 0.9953 0.6653 0.8214  3 Nb 2.11-2.13
O: 0.6653 0.6700 0.1786  3 Nb 2.11-2.13
O: 0.3300 0.9953 0.1786  3 Nb 2.11-2.13
O: 0.6700 0.0047 0.8214  3 Nb 2.11-2.13
O: 0.9986 0.3367 0.5714  3 Nb 2.11-2.13
O: 0.9953 0.3300 0.6786  3 Nb 2.11-2.13
O: 0.3381 0.3367 0.9286  3 Nb 2.11-2.13
O: 0.3347 0.3300 0.8214  3 Nb 2.11-2.13
O: 0.6633 0.6619 0.5714  3 Nb 2.11-2.13
O: 0.6633 0.0014 0.9286  3 Nb 2.11-2.13
O: 0.6700 0.6653 0.6786  3 Nb 2.11-2.13
O: 0.9986 0.6619 0.9286  3 Nb 2.11-2.13
O: 0.3347 0.0047 0.6786  3 Nb 2.11-2.13
O: 0.0047 0.3347 0.1786  3 Nb 2.11-2.13
O: 0.3367 0.3381 0.4286  3 Nb 2.11-2.13
O: 0.0014 0.3381 0.0714  3 Nb 2.11-2.13
O: 0.3300 0.3347 0.3214  3 Nb 2.11-2.13
O: 0.3367 0.9986 0.0714  3 Nb 2.11-2.13
O: 0.6653 0.9953 0.3214  3 Nb 2.11-2.13
O: 0.3381 0.0014 0.5714  3 Nb 2.11-2.13
O: 0.0047 0.6700 0.3214  3 Nb 2.11-2.13
O: 0.0014 0.6633 0.4286  3 Nb 2.11-2.13
O: 0.6619 0.6633 0.0714  3 Nb 2.11-2.13
Nb: 0.6667 0.9968 0.6250  6 O 2.11-2.13
Nb: 0.9968 0.3301 0.3750  6 O 2.11-2.13
Nb: 0.3301 0.3333 0.6250  6 O 2.11-2.13
Nb: 0.6699 0.6667 0.3750  6 O 2.11-2.13
Nb: 0.0032 0.3333 0.8750  6 O 2.11-2.13
Nb: 0.0032 0.6699 0.6250  6 O 2.11-2.13
Nb: 0.3333 0.0032 0.3750  6 O 2.11-2.13
Nb: 0.3301 0.9968 0.8750  6 O 2.11-2.13
Nb: 0.3333 0.3301 0.1250  6 O 2.11-2.13
Nb: 0.6667 0.6699 0.8750  6 O 2.11-2.13
Nb: 0.6699 0.0032 0.1250  6 O 2.11-2.13
Nb: 0.9968 0.6667 0.1250  6 O 2.11-2.13
Na: 0.6667 0.3333 0.5001  6 O 2.38-2.39
Na: 0.6667 0.3333 0.9999  6 O 2.38-2.39
Na: 0.0000 0.0000 0.2500  6 O 2.38
Na: 0.6667 0.3333 0.7500  6 O 2.38
Na: 0.0000 0.0000 0.7500  6 O 2.38
Na: 0.3333 0.6667 0.4999  6 O 2.38-2.39
Na: 0.3333 0.6667 0.2500  6 O 2.38
Na: 0.3333 0.6667 0.0001  6 O 2.38-2.39

Properties
calculated volume	12.1	A^3/atom
calculated density	5.26	Mg/m³
magnetization	0.0001	μB/atom
E_form (uncorrected)	-2321	meV/atom
energy	-369.2	eV/cell

=====

Entry 12:
## CaLaY2 (PBEsol)

Data for a relaxed structure of CaLaY2.

Cell: 3.5953 3.5953 10.4508 Å, 90.00 90.00 90.00°
With the nearest neighbours (Å) after each atom.
Atoms (fractional coordinates):
La: 0.5000 0.5000 0.7672  4 Y 3.56, 4 La 3.60, 4 Ca 3.83
Y: 0.5000 0.5000 0.2337  8 Y 3.48-3.60, 4 Ca 3.72
Y: 0.0000 0.0000 0.0059  8 Y 3.48-3.60, 4 La 3.56
Ca: 0.0000 0.0000 0.4932  4 Ca 3.60, 4 Y 3.72, 4 La 3.83

Properties
calculated volume	33.8	A^3/atom
calculated density	4.39	Mg/m³
ΔE to the lowest computed polymorph	0.003	eV/atom
magnetization	0.0003	μB/atom
energy of formation from the pure elements	0.066	eV per atom
energy	-20.9	eV/cell